A plane-wave DFT calculation with PBE+U was carried out for a relaxed CaCo2O crystal.

Output
DOS at the Fermi energy: 10.13 states/eV/cell
Electronic total energy: -69.4 eV per cell

Lattice parameters (Å, degrees): 4.847 4.847 11.933 90.00 90.00 90.00
Space group I4_1/amd (No. 141, origin choice 2)
Unique sites:
Ca 0.000 0.250 0.375 [4 per cell]
Co 0.000 0.000 0.000 [8 per cell]
O 0.000 0.250 0.875 [4 per cell]